Here is LaCoAsO6 after structural relaxation from Alexandria via LeMat-Bulk. Energies are from GGA+U.

## Properties
- symmetry = C2, No. 5

a b c (Å): 4.9443 4.9667 5.2377
angles (deg): 90.57 90.28 59.84
Last column: nearest neighbours and their distance in Å.
Fractional coordinates of all 9 atoms:
1 O 0.0054 0.6160 0.7022  1 As 1.85, 1 Co 1.91
2 O 0.3823 0.0022 0.7022  1 Co 1.85, 1 As 1.88
3 O 0.6184 0.3764 0.7023  1 As 1.85, 1 Co 1.90
4 O 0.3824 0.6154 0.2978  1 Co 1.85, 1 As 1.88
5 O 0.0055 0.3785 0.2977  1 As 1.85, 1 Co 1.91
6 O 0.6185 0.0051 0.2977  1 As 1.85, 1 Co 1.90
7 La 0.9944 0.0028 0.0000  6 O 2.43-2.48
8 Co 0.6595 0.6702 0.5000  6 O 1.85-1.91
9 As 0.3334 0.3333 0.5000  6 O 1.85-1.88

***

Here is LaCoAs2O8 after structural relaxation from Alexandria via LeMat-Bulk. Energies are from GGA+U.

## Properties
- symmetry = I-4m2, No. 119

a b c (Å): 6.0247 6.0247 6.0247
angles (deg): 105.51 105.51 117.73
Last column: nearest neighbours and their distance in Å.
Fractional coordinates of all 12 atoms:
1 Co 0.2500 0.7500 0.5000  8 O 2.26-2.34
2 O 0.7230 0.0551 0.6679  1 As 1.72
3 O 0.4856 0.6718 0.8138  1 As 1.73
4 O 0.3872 0.0551 0.3321  1 As 1.72
5 O 0.9449 0.6128 0.6679  1 As 1.72
6 O 0.3282 0.1420 0.8138  1 As 1.73
7 O 0.8580 0.6718 0.1862  1 As 1.73
8 O 0.9449 0.2770 0.3321  1 As 1.72
9 O 0.3282 0.5144 0.1862  1 As 1.73
10 As 0.7500 0.2500 0.5000  4 O 1.72
11 As 0.5000 0.5000 0.0000  4 O 1.73
12 La 0.0000 0.0000 0.0000  8 O 2.45

***

Here is LaCoAsO after structural relaxation from Alexandria via LeMat-Bulk. Energies are from GGA+U.

## Properties
- symmetry = P4/nmm, No. 129
- D(E_F) (states/eV/atom) = 0.23

a b c (Å): 4.1095 4.1095 8.2399
angles (deg): 90.00 90.00 90.00
Last column: nearest neighbours and their distance in Å.
Fractional coordinates of all 8 atoms:
1 O 0.7500 0.2500 0.0000  4 La 2.39
2 O 0.2500 0.7500 0.0000  4 La 2.39
3 Co 0.7500 0.2500 0.5000  4 As 2.32
4 Co 0.2500 0.7500 0.5000  4 As 2.32
5 As 0.7500 0.7500 0.3692  4 Co 2.32
6 As 0.2500 0.2500 0.6308  4 Co 2.32
7 La 0.7500 0.7500 0.8528  4 O 2.39
8 La 0.2500 0.2500 0.1472  4 O 2.39

***

The following energy values (in eV/atom) correspond, in order, to the records above: -6.73, -6.44, -6.57.